The following is a PBE calculation of Nd6Sm3In after structural relaxation, from Alexandria.

Output
- Energy above the most stable polymorph in this dataset: 0 meV/atom

```
Nd6Sm3In
1.0
12.546 0.000 0.000
0.000 3.649 0.000
-1.093 0.000 14.943
Nd Sm In
12 6 2
Cartesian
0.311 0.912 5.895
0.458 2.737 14.282
1.650 0.912 11.156
3.320 2.737 4.731
3.784 0.912 1.648
4.332 0.912 7.424
7.121 2.737 7.520
7.669 2.737 13.295
8.133 0.912 10.213
9.803 2.737 3.788
10.995 0.912 0.662
11.142 2.737 9.048
0.709 2.737 2.731
3.994 2.737 13.724
4.839 2.737 10.417
6.614 0.912 4.526
7.459 0.912 1.220
10.744 0.912 12.213
1.810 2.737 8.317
9.643 0.912 6.627
```

The following is a PBE calculation of Nd12Sm5In2 after structural relaxation, from Alexandria.

```
Nd12Sm5In2
1.0
7.859 -4.712 0.000
7.859 4.712 0.000
-0.544 0.000 8.681
Nd Sm In
12 5 2
Cartesian
0.710 0.000 2.818
5.710 2.882 2.869
5.146 1.744 6.634
9.464 2.882 5.812
6.551 0.000 0.999
10.028 1.744 2.047
5.146 -1.744 6.634
8.623 0.000 7.682
5.710 -2.882 2.869
10.028 -1.744 2.047
9.464 -2.882 5.812
14.464 0.000 5.863
2.983 0.000 0.120
3.985 0.000 3.643
7.587 0.000 4.341
11.189 0.000 5.038
12.191 0.000 8.561
7.859 3.064 0.000
7.859 -3.064 0.000
```

The following is a PBE calculation of NdSm2In2 after structural relaxation, from Alexandria.

Output
- Energy above the most stable polymorph in this dataset: 0 meV/atom

```
NdSm2In2
1.0
3.839 0.000 0.000
0.000 5.471 0.000
-1.926 0.000 14.205
Nd Sm In
2 4 4
Cartesian
-0.006 1.368 4.179
1.919 4.103 10.026
-0.002 4.103 1.378
-0.003 4.103 6.710
1.917 1.368 7.496
1.915 1.368 12.827
-0.002 1.368 10.132
-0.006 4.103 12.832
1.920 1.368 1.373
1.915 4.103 4.073
```

The following is a PBE calculation of Nd8Sm4In after structural relaxation, from Alexandria.

```
Nd8Sm4In
1.0
5.843 3.373 3.902
-5.843 3.373 3.902
0.000 -6.746 3.902
Nd Sm In
8 4 1
Cartesian
0.000 -3.356 3.909
-2.907 1.678 3.909
0.000 0.000 2.827
-2.907 -1.678 7.797
2.907 1.678 3.909
0.000 0.000 8.879
2.907 -1.678 7.797
0.000 3.356 7.797
0.000 0.000 0.000
-2.921 -1.687 3.902
-2.921 1.687 7.804
0.000 3.373 3.902
0.000 0.000 5.853
```

The following is a PBE calculation of Nd4Sm3In4 after structural relaxation, from Alexandria.

```
Nd4Sm3In4
1.0
-1.858 4.777 9.765
1.858 -4.777 9.765
1.858 4.777 -9.765
Nd Sm In
4 3 4
Cartesian
1.858 -3.074 6.574
0.000 1.703 3.191
1.858 3.074 6.574
0.000 7.851 3.191
1.858 0.000 0.000
0.000 0.000 7.917
0.000 0.000 11.613
1.858 0.000 5.339
0.000 2.675 0.000
0.000 6.879 0.000
0.000 4.777 4.426
```

The following is a PBE calculation of NdSmInSn after structural relaxation, from Alexandria.

Output
- Energy above the most stable polymorph in this dataset: 102 meV/atom

```
NdSmInSn
1.0
0.000 3.862 3.862
3.862 0.000 3.862
3.862 3.862 0.000
Nd Sm In Sn
1 1 1 1
Cartesian
0.000 0.000 0.000
3.862 3.862 3.862
5.792 5.792 5.792
1.931 1.931 1.931
```

The following is a PBE calculation of NdSmInSn after structural relaxation, from Alexandria.

Output
- Energy above the most stable polymorph in this dataset: 0 meV/atom

```
NdSmInSn
1.0
4.403 0.000 0.000
0.000 2.336 5.873
0.000 -2.336 5.873
Nd Sm In Sn
1 1 1 1
Cartesian
0.000 0.000 0.000
2.202 0.000 8.513
2.202 0.000 5.256
0.000 0.000 3.260
```

The following is a PBE calculation of TbNdSmIn after structural relaxation, from Alexandria.

```
TbNdSmIn
1.0
0.000 3.918 3.918
3.918 0.000 3.918
3.918 3.918 0.000
Tb Nd Sm In
1 1 1 1
Cartesian
0.000 0.000 0.000
5.877 5.877 5.877
3.918 3.918 3.918
1.959 1.959 1.959
```

Number 1: calculated formation energy -0.6 kJ per mole of atoms. Number 2: calculated formation energy -2.0 kJ per mole of atoms. Number 3: calculated formation energy -37.3 kJ per mole of atoms. Number 4: calculated formation energy 31.2 kJ per mole of atoms. Number 5: calculated formation energy -30.4 kJ per mole of atoms. Number 6: calculated formation energy -51.8 kJ per mole of atoms. Number 7: calculated formation energy -61.7 kJ per mole of atoms. Number 8: calculated formation energy -10.8 kJ per mole of atoms.